one) 4
Lattice="1.639 -2.531 0.000 1.639 2.531 0.000 0.000 0.000 9.138" Properties=species:S:1:pos:R:3 comment="Ta2MoBr, relaxed, DFT GGA-PBE" space_group="Cmm2, No. 35" pbc="T T T"
Ta 0.000 0.000 0.000
Ta 1.639 0.000 2.287
Mo 0.000 0.000 4.305
Br 1.639 0.000 6.965

---

two) 4
Lattice="1.593 0.920 8.538 -1.593 0.920 8.538 0.000 -1.840 8.538" Properties=species:S:1:pos:R:3 comment="Ta2MoBr, relaxed, DFT GGA-PBE" space_group="R-3m, No. 166" pbc="T T T"
Ta 0.000 0.000 6.222
Ta 0.000 0.000 19.392
Mo 0.000 0.000 12.807
Br 0.000 0.000 0.000

---

three) 4
Lattice="-1.635 2.447 4.459 1.635 -2.447 4.459 1.635 2.447 -4.459" Properties=species:S:1:pos:R:3 comment="Ta2MoBr, relaxed, DFT GGA-PBE" space_group="Immm, No. 71" pbc="T T T"
Ta 0.000 0.000 2.192
Ta 0.000 0.000 6.726
Mo 1.635 0.000 0.000
Br 0.000 2.447 0.000

---

Question: which arrangement is favored energetically? Ranking from most to least stable: two), one), three).

---

one) 4
Lattice="1.588 0.917 9.122 -1.588 0.917 9.122 0.000 -1.834 9.122" Properties=species:S:1:pos:R:3 comment="Ta2MoBr, relaxed, DFT GGA-PBE" space_group="R3m, No. 160" pbc="T T T"
Ta 0.000 0.000 0.000
Ta 0.000 0.000 6.787
Mo 0.000 0.000 20.078
Br 0.000 0.000 13.981

---

two) 4
Lattice="-1.607 2.262 4.898 1.607 -2.262 4.898 1.607 2.262 -4.898" Properties=species:S:1:pos:R:3 comment="Ta2MoBr, relaxed, DFT GGA-PBE" space_group="Imm2, No. 44" pbc="T T T"
Ta 0.000 0.000 0.000
Ta 0.000 2.262 2.341
Mo 0.000 0.000 4.946
Br 1.607 0.000 2.784

---

Question: which arrangement is favored energetically? Ranking from most to least stable: one), two).

---

one) 4
Lattice="1.631 -2.564 0.000 1.631 2.564 0.000 0.000 0.000 8.933" Properties=species:S:1:pos:R:3 comment="Ta2MoBr, relaxed, DFT GGA-PBE" space_group="Cmmm, No. 65" pbc="T T T"
Ta 0.000 0.000 2.075
Ta 0.000 0.000 6.858
Mo 1.631 0.000 0.000
Br 1.631 0.000 4.466

---

two) 4
Lattice="3.197 0.000 0.000 0.000 4.513 0.000 0.000 0.000 4.902" Properties=species:S:1:pos:R:3 comment="Ta2MoBr, relaxed, DFT GGA-PBE" space_group="Pmmm, No. 47" pbc="T T T"
Ta 0.000 0.000 0.000
Ta 1.598 0.000 2.451
Mo 0.000 2.256 2.451
Br 1.598 2.256 0.000

---

three) 4
Lattice="0.000 3.295 3.295 3.295 0.000 3.295 3.295 3.295 0.000" Properties=species:S:1:pos:R:3 comment="Ta2MoBr, relaxed, DFT GGA-PBE" space_group="Fm-3m, No. 225" pbc="T T T"
Ta 1.647 1.647 1.647
Ta 4.942 4.942 4.942
Mo 0.000 0.000 0.000
Br 3.295 3.295 3.295

---

Question: which arrangement is favored energetically? Ranking from most to least stable: one), two), three).

---

one) 4
Lattice="3.092 0.000 0.000 0.000 3.092 0.000 0.000 0.000 9.030" Properties=species:S:1:pos:R:3 comment="TaMoBr2, relaxed, DFT GGA-PBE" space_group="P4mm, No. 99" pbc="T T T"
Ta 0.000 0.000 0.000
Mo 1.546 1.546 7.046
Br 0.000 0.000 5.412
Br 1.546 1.546 1.769

---

two) 4
Lattice="2.986 0.000 0.000 0.000 4.621 0.000 0.000 0.000 5.722" Properties=species:S:1:pos:R:3 comment="TaMoBr2, relaxed, DFT GGA-PBE" space_group="Pmmm, No. 47" pbc="T T T"
Ta 0.000 0.000 0.000
Mo 1.493 0.000 2.861
Br 0.000 2.311 2.861
Br 1.493 2.311 0.000

---

Question: which arrangement is favored energetically? Ranking from most to least stable: one), two).